# 1
First-principles (PBE) data for a geometry-optimized Ac6La8Pb structure, as listed in Alexandria via LeMat-Bulk.

Geometry as CIF:
```
data_Ac6La8Pb
_chemical_formula_sum 'Ac6 La8 Pb1'
_cell_length_a 9.9771
_cell_length_b 9.9771
_cell_length_c 6.9572
_cell_angle_alpha 90.00
_cell_angle_beta 90.00
_cell_angle_gamma 120.00
_symmetry_space_group_name_H-M 'P -3'
_symmetry_Int_Tables_number 147
_symmetry_space_group_name_Hall '-P 3'
loop_
_atom_site_label
_atom_site_fract_x
_atom_site_fract_y
_atom_site_fract_z
Ac1 0.0951 0.4427 0.1760
La1 0.0493 0.2664 0.6783
La2 0.3333 0.6667 0.6441
Pb1 0.0000 0.0000 0.0000
```

Computed properties:
- Density: 7.4 g/cm³
- V: 599.8 Å³/cell
- Total magnetization: 0.0 μB/f.u.
- Uncorrected energy: -67.45 eV per cell
- D(E_F): 1.491 states/eV per atom

---

# 2
First-principles (PBE) data for a geometry-optimized LaBeZnPd3 structure, as listed in Alexandria via LeMat-Bulk.

Geometry as CIF:
```
data_LaBeZnPd3
_chemical_formula_sum 'La4 Be4 Zn4 Pd12'
_cell_length_a 5.800
_cell_length_b 12.303
_cell_length_c 6.139
_cell_angle_alpha 90.00
_cell_angle_beta 90.00
_cell_angle_gamma 90.00
_symmetry_space_group_name_H-M 'C m c m'
_symmetry_Int_Tables_number 63
_symmetry_space_group_name_Hall '-C 2c 2'
loop_
_atom_site_label
_atom_site_fract_x
_atom_site_fract_y
_atom_site_fract_z
La1 0.000 0.215 0.250
Be1 0.000 0.472 0.250
Zn1 0.000 0.131 0.750
Pd1 0.000 0.335 0.750
Pd2 0.239 0.000 0.000
```

Computed properties:
- Density: 8.1 g/cm³
- V: 438.1 Å³/cell
- Total magnetization: 0.0 μB/f.u.
- Uncorrected energy: -115.38 eV per cell
- D(E_F): 0.558 states/eV per atom

---

# 3
First-principles (PBE) data for a geometry-optimized PuHg3Se2F6 structure, as listed in Alexandria via LeMat-Bulk.

Geometry as CIF:
```
data_PuHg3Se2F6
_chemical_formula_sum 'Pu2 Hg6 Se4 F12'
_cell_length_a 14.227
_cell_length_b 7.397
_cell_length_c 5.232
_cell_angle_alpha 90.00
_cell_angle_beta 109.01
_cell_angle_gamma 90.00
_symmetry_space_group_name_H-M 'C 1 2/m 1'
_symmetry_Int_Tables_number 12
_symmetry_space_group_name_Hall '-C 2y'
loop_
_atom_site_label
_atom_site_fract_x
_atom_site_fract_y
_atom_site_fract_z
Pu1 0.000 0.000 0.000
Hg1 0.000 0.500 0.500
Hg2 0.250 0.250 0.000
Se1 0.189 0.500 0.652
F1 0.091 0.216 0.232
F2 0.101 0.000 0.767
```

Computed properties:
- ΔE_f (raw): -1936 meV per atom
- Density: 7.1 g/cm³
- V: 520.6 Å³/cell
- Total magnetization: 4.0 μB/f.u.
- D(E_F): 0.415 states/eV per atom

---

# 4
First-principles (PBE) data for a geometry-optimized ReAsO2 structure, as listed in Alexandria via LeMat-Bulk.

Geometry as CIF:
```
data_ReAsO2
_chemical_formula_sum 'Re3 As3 O6'
_cell_length_a 2.8044
_cell_length_b 2.8044
_cell_length_c 21.2948
_cell_angle_alpha 90.00
_cell_angle_beta 90.00
_cell_angle_gamma 120.00
_symmetry_space_group_name_H-M 'R -3 m'
_symmetry_Int_Tables_number 166
_symmetry_space_group_name_Hall '-R 3 2"'
loop_
_atom_site_label
_atom_site_fract_x
_atom_site_fract_y
_atom_site_fract_z
Re1 0.0000 0.0000 0.0000
As1 0.0000 0.0000 0.5000
O1 0.0000 0.0000 0.3973
```

Computed properties:
- ΔE_f (raw): -627 meV per atom
- Density: 10.1 g/cm³
- V: 145.0 Å³/cell
- Total magnetization: 0.0 μB/f.u.
- D(E_F): 0.255 states/eV per atom